{
  "formula": "AcNdCBr",
  "functional": "GGA-PBE",
  "state": "relaxed",
  "cell": [[3.8932, -0.0003, -0.0015], [-1.9461, 3.3768, 0.0010], [-1.9492, -1.1243, 7.8181]],
  "species": ["Br", "Ac", "C", "Nd"],
  "frac_coords": [[0.9558, 0.3763, 0.3468], [0.5146, 0.1547, 0.6846], [0.3141, 0.5550, 0.8846], [0.0935, 0.9447, 0.0537]],
  "crystal_system": "trigonal",
  "e_form_raw_ev_per_fu": -3.16,
  "magnetic_moment_mub_per_fu": 0.000
}



{
  "formula": "Nd2BiS",
  "functional": "GGA-PBE",
  "state": "relaxed",
  "cell": [[4.3155, -0.0002, -0.0026], [-2.1567, 3.7380, 0.0026], [-2.1505, -1.2502, 7.1783]],
  "species": ["S", "Bi", "Nd", "Nd"],
  "frac_coords": [[0.0000, 0.0000, 0.0000], [0.0000, 0.5000, 0.5000], [0.5213, 0.2603, 0.7816], [0.4787, 0.7397, 0.2184]],
  "crystal_system": "trigonal",
  "e_form_raw_ev_per_fu": -5.69,
  "e_above_lowest_polymorph_mev_per_atom": 5.4,
  "magnetic_moment_mub_per_fu": 0.000
}



{
  "formula": "KZrPb",
  "functional": "GGA-PBE",
  "state": "relaxed",
  "cell": [[-0.7132, -1.9695, -8.6176], [0.1241, -4.8946, -7.3928], [-3.1354, -0.9512, -0.1488]],
  "species": ["K", "Pb", "Zr"],
  "frac_coords": [[0.9879, 0.9879, 0.0121], [0.3218, 0.3218, 0.6782], [0.6903, 0.6903, 0.3097]],
  "crystal_system": "orthorhombic",
  "e_above_lowest_polymorph_mev_per_atom": 0.0,
  "magnetic_moment_mub_per_fu": 0.489
}



{
  "formula": "ZnAsSeBr2",
  "functional": "GGA-PBE",
  "state": "relaxed",
  "cell": [[5.4158, 0.0000, 0.0000], [0.0000, 5.1902, 0.0000], [0.0000, 0.0000, 5.4158]],
  "species": ["Zn", "As", "Br", "Br", "Se"],
  "frac_coords": [[0.0000, 0.5000, 0.0000], [0.5000, 0.5000, 0.5000], [0.0000, 0.0000, 0.5000], [0.5000, 0.0000, 0.0000], [0.0000, 0.0000, 0.0000]],
  "crystal_system": "tetragonal",
  "e_form_raw_ev_per_fu": 2.64,
  "e_above_lowest_polymorph_mev_per_atom": 354.6,
  "magnetic_moment_mub_per_fu": 2.521
}



{
  "formula": "Pm2NiS",
  "functional": "GGA-PBE",
  "state": "relaxed",
  "cell": [[-0.3732, 0.8348, 3.9439], [-0.4686, -3.8435, 0.7692], [11.5801, 0.8008, 0.9264]],
  "species": ["Pm", "Pm", "Pm", "Pm", "S", "S", "Ni", "Ni"],
  "frac_coords": [[0.2500, 0.3131, 0.6262], [0.7500, 0.6869, 0.3738], [0.2500, 0.0663, 0.1326], [0.7500, 0.9337, 0.8674], [0.2500, 0.1906, 0.3811], [0.7500, 0.8094, 0.6189], [0.7500, 0.5321, 0.0643], [0.2500, 0.4679, 0.9357]],
  "crystal_system": "orthorhombic",
  "e_form_raw_ev_per_fu": -4.70,
  "e_above_lowest_polymorph_mev_per_atom": 0.0,
  "magnetic_moment_mub_per_fu": 0.000
}



{
  "formula": "YHgBMo2",
  "functional": "GGA-PBE",
  "state": "relaxed",
  "cell": [[-2.9436, -2.4361, 2.1568], [2.9321, -3.2469, 0.3343], [1.4621, 1.7265, 3.9455]],
  "species": ["Hg", "B", "Mo", "Mo", "Y"],
  "frac_coords": [[0.0000, 0.0000, 0.5000], [0.0000, 0.0000, 0.0000], [0.5000, 0.0000, 0.0000], [0.0000, 0.5000, 0.0000], [0.5000, 0.5000, 0.5000]],
  "crystal_system": "tetragonal",
  "magnetic_moment_mub_per_fu": 0.000,
  "total_energy_ev_per_atom": -6.705
}



Number 6 is which compound? YHgBMo2



Number 6 is which compound? YHgBMo2